Density functional theory data (PBE with a Hubbard U) for an optimized crystal structure of KMnB2F8.

```
12
Lattice="5.2590 0.0000 0.0000 2.6295 4.5544 0.0000 2.6295 1.5181 7.5178" Properties=species:S:1:pos:R:3 pbc="T T T"
B 2.6295 1.5181 2.0285
F 5.7155 1.2619 5.9600
F 3.4942 3.5282 5.9600
F 2.6295 1.5181 3.4420
F 7.8885 4.5544 4.0759
Mn 0.0000 0.0000 0.0000
F 4.8026 4.8106 1.5578
F 6.5674 4.3187 5.9600
B 7.8885 4.5544 5.4893
F 7.0239 2.5444 1.5578
F 3.9506 1.7538 1.5578
K 5.2590 3.0363 3.7589
```

Summary:
* spin magnetization: 6.0 μB/cell
* E: -5.716 eV per atom